Entry 1:
A plane-wave DFT calculation with PBE was carried out for AcLa6Y2 after structural relaxation.

POSCAR file:
```
AcLa6Y2
1.0
9.219 -5.040 0.000
9.219 5.040 0.000
-0.684 0.000 3.573
Ac La Y
1 6 2
Direct
0.000 0.000 0.000 Ac
0.006 0.655 0.336 La
0.333 0.667 0.501 La
0.345 0.994 0.661 La
0.655 0.006 0.336 La
0.667 0.333 0.501 La
0.994 0.345 0.661 La
0.348 0.348 0.860 Y
0.652 0.652 0.142 Y
```

## Properties
The calculation puts the total energy at -45.84 eV per cell. The value obtained for the energy of formation is 85 meV/atom. The crystal system is monoclinic. For the energy above the most stable polymorph in this dataset, the calculation gives 0 meV/atom. The value obtained for the density of states at the Fermi level is 1.800 states/eV/atom. The magnetization is 0.0 μB/f.u.

***

Entry 2:
A plane-wave DFT calculation with PBE was carried out for AcSm4Dy2Er after structural relaxation.

POSCAR file:
```
AcSm4Dy2Er
1.0
5.122 0.000 0.000
0.000 5.145 0.000
0.000 0.000 10.318
Ac Sm Dy Er
1 4 2 1
Direct
0.000 0.000 0.000 Ac
0.000 0.500 0.258 Sm
0.000 0.500 0.742 Sm
0.500 0.000 0.258 Sm
0.500 0.000 0.742 Sm
0.000 0.000 0.500 Dy
0.500 0.500 0.000 Dy
0.500 0.500 0.500 Er
```

## Properties
The calculation puts the total energy at -36.49 eV per cell. The value obtained for the energy of formation is 33 meV/atom. The crystal system is orthorhombic. The value obtained for the density of states at the Fermi level is 1.458 states/eV/atom. The magnetization is 0.0 μB/f.u.

***

Entry 3:
A plane-wave DFT calculation with PBE was carried out for MgTe2Au after structural relaxation.

POSCAR file:
```
MgTe2Au
1.0
2.118 1.223 8.379
-2.118 1.223 8.379
0.000 -2.446 8.379
Mg Te Au
1 2 1
Direct
0.000 0.000 0.000 Mg
0.398 0.398 0.398 Te
0.602 0.602 0.602 Te
0.500 0.500 0.500 Au
```

## Properties
The calculation puts the total energy at -12.15 eV per cell. The crystal system is trigonal. The uncorrected formation energy comes out at -0.249 eV per atom. The value obtained for the density of states at the Fermi level is 0.603 states/eV/atom. The magnetization is 0.0 μB/f.u.

***

Entry 4:
A plane-wave DFT calculation with PBE was carried out for Rb2ErSbO6 after structural relaxation.

POSCAR file:
```
Rb2ErSbO6
1.0
0.000 4.274 4.274
4.274 0.000 4.274
4.274 4.274 0.000
Rb Er Sb O
2 1 1 6
Direct
0.250 0.250 0.250 Rb
0.750 0.750 0.750 Rb
0.000 0.000 0.000 Er
0.500 0.500 0.500 Sb
0.265 0.265 0.735 O
0.265 0.735 0.265 O
0.265 0.735 0.735 O
0.735 0.265 0.265 O
0.735 0.265 0.735 O
0.735 0.735 0.265 O
```

## Properties
The calculation puts the total energy at -58.41 eV per cell. The crystal system is cubic. The uncorrected formation energy comes out at -1.804 eV per atom. The value obtained for the density of states at the Fermi level is 0.318 states/eV/atom. The magnetization is 2.0 μB/f.u.

***

Entry 5:
A plane-wave DFT calculation with PBE was carried out for Ac7Pb5 after structural relaxation.

POSCAR file:
```
Ac7Pb5
1.0
7.982 -2.407 0.000
7.982 2.407 0.000
-4.305 0.000 13.429
Ac Pb
7 5
Direct
0.000 0.000 0.000 Ac
0.159 0.159 0.543 Ac
0.234 0.234 0.852 Ac
0.451 0.451 0.714 Ac
0.549 0.549 0.286 Ac
0.766 0.766 0.148 Ac
0.841 0.841 0.457 Ac
0.202 0.202 0.297 Pb
0.384 0.384 0.075 Pb
0.500 0.500 0.500 Pb
0.616 0.616 0.925 Pb
0.798 0.798 0.703 Pb
```

## Properties
The calculation puts the total energy at -52.10 eV per cell. The value obtained for the energy of formation is -400 meV/atom. The crystal system is monoclinic. The value obtained for the density of states at the Fermi level is 0.525 states/eV/atom. The magnetization is 1.1 μB/f.u.

***

Entry 6:
A plane-wave DFT calculation with PBE was carried out for LiZr2Sc after structural relaxation.

POSCAR file:
```
LiZr2Sc
1.0
3.126 0.000 0.000
0.000 4.639 0.000
-1.180 0.000 6.140
Li Zr Sc
1 2 1
Direct
0.000 0.000 0.000 Li
0.089 0.000 0.518 Zr
0.664 0.500 0.730 Zr
0.489 0.500 0.233 Sc
```

## Properties
The calculation puts the total energy at -24.65 eV per cell. The value obtained for the energy of formation is 174 meV/atom. The crystal system is monoclinic. The value obtained for the density of states at the Fermi level is 1.227 states/eV/atom. The magnetization is 0.0 μB/f.u.

***

Entry 7:
A plane-wave DFT calculation with PBE was carried out for SrIn4Hg5 after structural relaxation.

POSCAR file:
```
SrIn4Hg5
1.0
3.944 0.000 0.000
0.000 3.944 0.000
0.000 0.000 17.416
Sr In Hg
1 4 5
Direct
0.000 0.000 0.000 Sr
0.000 0.000 0.210 In
0.000 0.000 0.403 In
0.000 0.000 0.597 In
0.000 0.000 0.790 In
0.500 0.500 0.113 Hg
0.500 0.500 0.305 Hg
0.500 0.500 0.500 Hg
0.500 0.500 0.695 Hg
0.500 0.500 0.887 Hg
```

## Properties
The calculation puts the total energy at -15.44 eV per cell. The value obtained for the energy of formation is -130 meV/atom. The crystal system is tetragonal. The value obtained for the density of states at the Fermi level is 0.568 states/eV/atom. The magnetization is 0.0 μB/f.u.

***

Entry 8:
A plane-wave DFT calculation with PBE was carried out for PrNd9Th2 after structural relaxation.

POSCAR file:
```
PrNd9Th2
1.0
5.175 0.000 0.000
0.000 5.175 0.000
0.000 0.000 15.553
Pr Nd Th
1 9 2
Direct
0.000 0.000 0.000 Pr
0.000 0.500 0.171 Nd
0.000 0.500 0.500 Nd
0.000 0.500 0.829 Nd
0.500 0.000 0.171 Nd
0.500 0.000 0.500 Nd
0.500 0.000 0.829 Nd
0.500 0.500 0.000 Nd
0.500 0.500 0.334 Nd
0.500 0.500 0.666 Nd
0.000 0.000 0.334 Th
0.000 0.000 0.666 Th
```

## Properties
The calculation puts the total energy at -62.03 eV per cell. The value obtained for the energy of formation is 42 meV/atom. The crystal system is tetragonal. The value obtained for the density of states at the Fermi level is 1.339 states/eV/atom. The magnetization is 0.0 μB/f.u.

***

Entry 9:
A plane-wave DFT calculation with PBE was carried out for CrHgMo2 after structural relaxation.

POSCAR file:
```
CrHgMo2
1.0
3.291 0.000 0.000
0.000 3.291 0.000
0.000 0.000 6.053
Cr Hg Mo
1 1 2
Direct
0.000 0.000 0.000 Cr
0.500 0.500 0.286 Hg
0.000 0.000 0.589 Mo
0.500 0.500 0.806 Mo
```

## Properties
The calculation puts the total energy at -29.93 eV per cell. The value obtained for the energy of formation is 415 meV/atom. The crystal system is tetragonal. The value obtained for the density of states at the Fermi level is 0.933 states/eV/atom. The magnetization is 0.0 μB/f.u.

***

Entry 10:
A plane-wave DFT calculation with PBE was carried out for As2IrAu after structural relaxation.

POSCAR file:
```
As2IrAu
1.0
4.683 0.000 0.000
0.000 4.683 0.000
0.000 0.000 3.118
As Ir Au
2 1 1
Direct
0.000 0.500 0.000 As
0.500 0.000 0.000 As
0.000 0.000 0.500 Ir
0.500 0.500 0.500 Au
```

## Properties
The calculation puts the total energy at -20.16 eV per cell. The value obtained for the energy of formation is 318 meV/atom. The crystal system is tetragonal. For the energy above the most stable polymorph in this dataset, the calculation gives 370 meV/atom. The value obtained for the density of states at the Fermi level is 0.470 states/eV/atom. The magnetization is 0.0 μB/f.u.

***

Entry 11:
A plane-wave DFT calculation with PBE was carried out for SrYMo2Ru after structural relaxation.

POSCAR file:
```
SrYMo2Ru
1.0
4.795 0.000 0.000
0.000 4.795 0.000
0.000 0.000 5.570
Sr Y Mo Ru
1 1 2 1
Direct
0.000 0.000 0.000 Sr
0.000 0.000 0.500 Y
0.000 0.500 0.500 Mo
0.500 0.000 0.500 Mo
0.500 0.500 0.000 Ru
```

## Properties
The calculation puts the total energy at -26.92 eV per cell. The value obtained for the energy of formation is 2432 meV/atom. The crystal system is tetragonal. The value obtained for the density of states at the Fermi level is 1.730 states/eV/atom. The magnetization is 1.4 μB/f.u.

***

Entry 12:
A plane-wave DFT calculation with PBE was carried out for ScRe2Sb after structural relaxation.

POSCAR file:
```
ScRe2Sb
1.0
-1.653 2.224 4.710
1.653 -2.224 4.710
1.653 2.224 -4.710
Sc Re Sb
1 2 1
Direct
0.000 0.000 0.000 Sc
0.259 0.759 0.500 Re
0.491 0.491 0.000 Re
0.730 0.230 0.500 Sb
```

## Properties
The calculation puts the total energy at -34.90 eV per cell. The crystal system is orthorhombic. The uncorrected formation energy comes out at 0.113 eV per atom. The value obtained for the density of states at the Fermi level is 0.413 states/eV/atom. The magnetization is 0.0 μB/f.u.